i:
The following is a DFT calculation (PBE-GGA) of a relaxed structure of Li3TlAg3.

CIF file:
```
data_Li3TlAg3
_cell_length_a 7.0869
_cell_length_b 7.0869
_cell_length_c 17.8718
_cell_angle_alpha 90.00
_cell_angle_beta 90.00
_cell_angle_gamma 120.00
_symmetry_space_group_name_H-M 'R -3'
_symmetry_Int_Tables_number 148
_symmetry_space_group_name_Hall '-R 3'
loop_
_atom_site_label
_atom_site_type_symbol
_atom_site_fract_x
_atom_site_fract_y
_atom_site_fract_z
_atom_site_occupancy
Li1 Li 0.0190 0.2461 0.0630 1
Tl1 Tl 0.0000 0.0000 0.3569 1
Ag1 Ag 0.0437 0.2653 0.2108 1
```

ii:
The following is a DFT calculation (PBE-GGA) of a relaxed structure of Li3TlAg3.

CIF file:
```
data_Li3TlAg3
_cell_length_a 8.0342
_cell_length_b 8.0342
_cell_length_c 8.0342
_cell_angle_alpha 90.00
_cell_angle_beta 90.00
_cell_angle_gamma 90.00
_symmetry_space_group_name_H-M 'P 21 3'
_symmetry_Int_Tables_number 198
_symmetry_space_group_name_Hall 'P 2ac 2ab 3'
loop_
_atom_site_label
_atom_site_type_symbol
_atom_site_fract_x
_atom_site_fract_y
_atom_site_fract_z
_atom_site_occupancy
Li1 Li 0.0236 0.3082 0.8810 1
Tl1 Tl 0.0471 0.4529 0.5471 1
Ag1 Ag 0.1324 0.6324 0.8676 1
Ag2 Ag 0.1641 0.1641 0.1641 1
Ag3 Ag 0.1651 0.8349 0.3349 1
```

ii has the most favorable energy; the next structure is 56 meV/atom above.

i:
The following is a DFT calculation (PBE-GGA) of a relaxed structure of LiTl2Ag2.

CIF file:
```
data_LiTl2Ag2
_cell_length_a 7.5621
_cell_length_b 7.5621
_cell_length_c 4.0530
_cell_angle_alpha 90.00
_cell_angle_beta 90.00
_cell_angle_gamma 90.00
_symmetry_space_group_name_H-M 'P 4/m b m'
_symmetry_Int_Tables_number 127
_symmetry_space_group_name_Hall '-P 4 2ab'
loop_
_atom_site_label
_atom_site_type_symbol
_atom_site_fract_x
_atom_site_fract_y
_atom_site_fract_z
_atom_site_occupancy
Li1 Li 0.0000 0.0000 0.0000 1
Tl1 Tl 0.1713 0.3287 0.5000 1
Ag1 Ag 0.1332 0.6332 0.0000 1
```

ii:
The following is a DFT calculation (PBE-GGA) of a relaxed structure of LiTl2Ag2.

CIF file:
```
data_LiTl2Ag2
_cell_length_a 4.4782
_cell_length_b 4.4782
_cell_length_c 13.2273
_cell_angle_alpha 90.00
_cell_angle_beta 90.00
_cell_angle_gamma 90.00
_symmetry_space_group_name_H-M 'I 4/m m m'
_symmetry_Int_Tables_number 139
_symmetry_space_group_name_Hall '-I 4 2'
loop_
_atom_site_label
_atom_site_type_symbol
_atom_site_fract_x
_atom_site_fract_y
_atom_site_fract_z
_atom_site_occupancy
Li1 Li 0.0000 0.0000 0.0000 1
Tl1 Tl 0.0000 0.5000 0.2500 1
Ag1 Ag 0.0000 0.0000 0.3996 1
```

iii:
The following is a DFT calculation (PBE-GGA) of a relaxed structure of LiTl2Ag2.

CIF file:
```
data_LiTl2Ag2
_cell_length_a 3.8903
_cell_length_b 3.8903
_cell_length_c 15.7792
_cell_angle_alpha 90.00
_cell_angle_beta 90.00
_cell_angle_gamma 90.00
_symmetry_space_group_name_H-M 'I 4/m m m'
_symmetry_Int_Tables_number 139
_symmetry_space_group_name_Hall '-I 4 2'
loop_
_atom_site_label
_atom_site_type_symbol
_atom_site_fract_x
_atom_site_fract_y
_atom_site_fract_z
_atom_site_occupancy
Li1 Li 0.0000 0.0000 0.0000 1
Tl1 Tl 0.0000 0.0000 0.3994 1
Ag1 Ag 0.0000 0.5000 0.2500 1
```

i has the most favorable energy; the next structure is 46 meV/atom above.

i:
The following is a DFT calculation (PBE-GGA) of a relaxed structure of Li5Tl4Ag2.

CIF file:
```
data_Li5Tl4Ag2
_cell_length_a 7.4364
_cell_length_b 3.3089
_cell_length_c 9.4601
_cell_angle_alpha 90.00
_cell_angle_beta 92.51
_cell_angle_gamma 90.00
_symmetry_space_group_name_H-M 'P 1 2/m 1'
_symmetry_Int_Tables_number 10
_symmetry_space_group_name_Hall '-P 2y'
loop_
_atom_site_label
_atom_site_type_symbol
_atom_site_fract_x
_atom_site_fract_y
_atom_site_fract_z
_atom_site_occupancy
Li1 Li 0.0000 0.0000 0.0000 1
Li2 Li 0.0609 0.0000 0.3231 1
Li3 Li 0.3438 0.0000 0.8559 1
Tl1 Tl 0.2330 0.5000 0.5880 1
Tl2 Tl 0.3009 0.5000 0.1106 1
Ag1 Ag 0.4215 0.0000 0.3594 1
```

ii:
The following is a DFT calculation (PBE-GGA) of a relaxed structure of Li5Tl4Ag2.

CIF file:
```
data_Li5Tl4Ag2
_cell_length_a 7.5868
_cell_length_b 17.7041
_cell_length_c 3.2881
_cell_angle_alpha 90.00
_cell_angle_beta 90.00
_cell_angle_gamma 90.00
_symmetry_space_group_name_H-M 'P b a m'
_symmetry_Int_Tables_number 55
_symmetry_space_group_name_Hall '-P 2 2ab'
loop_
_atom_site_label
_atom_site_type_symbol
_atom_site_fract_x
_atom_site_fract_y
_atom_site_fract_z
_atom_site_occupancy
Li1 Li 0.0000 0.0000 0.0000 1
Li2 Li 0.1341 0.4244 0.0000 1
Li3 Li 0.2469 0.2137 0.0000 1
Tl1 Tl 0.0761 0.8530 0.5000 1
Tl2 Tl 0.2004 0.5619 0.5000 1
Ag1 Ag 0.0405 0.3056 0.5000 1
```

ii has the most favorable energy; the next structure is 81 meV/atom above.

i:
The following is a DFT calculation (PBE-GGA) of a relaxed structure of Li12TlAg6.

CIF file:
```
data_Li12TlAg6
_cell_length_a 12.5178
_cell_length_b 12.5178
_cell_length_c 7.0935
_cell_angle_alpha 90.00
_cell_angle_beta 90.00
_cell_angle_gamma 120.00
_symmetry_space_group_name_H-M 'R -3'
_symmetry_Int_Tables_number 148
_symmetry_space_group_name_Hall '-R 3'
loop_
_atom_site_label
_atom_site_type_symbol
_atom_site_fract_x
_atom_site_fract_y
_atom_site_fract_z
_atom_site_occupancy
Li1 Li 0.0143 0.8685 0.1626 1
Li2 Li 0.0649 0.5022 0.1784 1
Tl1 Tl 0.0000 0.0000 0.5000 1
Ag1 Ag 0.0317 0.7557 0.8214 1
```

ii:
The following is a DFT calculation (PBE-GGA) of a relaxed structure of Li12TlAg6.

CIF file:
```
data_Li12TlAg6
_cell_length_a 9.9997
_cell_length_b 9.9997
_cell_length_c 12.0518
_cell_angle_alpha 90.00
_cell_angle_beta 90.00
_cell_angle_gamma 120.00
_symmetry_space_group_name_H-M 'R -3'
_symmetry_Int_Tables_number 148
_symmetry_space_group_name_Hall '-R 3'
loop_
_atom_site_label
_atom_site_type_symbol
_atom_site_fract_x
_atom_site_fract_y
_atom_site_fract_z
_atom_site_occupancy
Li1 Li 0.0333 0.1906 0.3121 1
Li2 Li 0.0583 0.8391 0.9141 1
Tl1 Tl 0.0000 0.0000 0.5000 1
Ag1 Ag 0.0109 0.4257 0.2038 1
```

i has the most favorable energy; the next structure is 60 meV/atom above.

i:
The following is a DFT calculation (PBE-GGA) of a relaxed structure of Li7TlAg3.

CIF file:
```
data_Li7TlAg3
_cell_length_a 9.5549
_cell_length_b 9.8187
_cell_length_c 5.0386
_cell_angle_alpha 90.00
_cell_angle_beta 118.88
_cell_angle_gamma 90.00
_symmetry_space_group_name_H-M 'C 1 2/m 1'
_symmetry_Int_Tables_number 12
_symmetry_space_group_name_Hall '-C 2y'
loop_
_atom_site_label
_atom_site_type_symbol
_atom_site_fract_x
_atom_site_fract_y
_atom_site_fract_z
_atom_site_occupancy
Li1 Li 0.0000 0.0000 0.0000 1
Li2 Li 0.1673 0.5000 0.1536 1
Li3 Li 0.1722 0.2763 0.6720 1
Tl1 Tl 0.0000 0.0000 0.5000 1
Ag1 Ag 0.0000 0.2686 0.0000 1
Ag2 Ag 0.0000 0.5000 0.5000 1
```

ii:
The following is a DFT calculation (PBE-GGA) of a relaxed structure of Li7TlAg3.

CIF file:
```
data_Li7TlAg3
_cell_length_a 2.9544
_cell_length_b 21.0170
_cell_length_c 13.0175
_cell_angle_alpha 90.00
_cell_angle_beta 90.00
_cell_angle_gamma 90.00
_symmetry_space_group_name_H-M 'C m c m'
_symmetry_Int_Tables_number 63
_symmetry_space_group_name_Hall '-C 2c 2'
loop_
_atom_site_label
_atom_site_type_symbol
_atom_site_fract_x
_atom_site_fract_y
_atom_site_fract_z
_atom_site_occupancy
Li1 Li 0.0000 0.0471 0.0738 1
Li2 Li 0.0000 0.0926 0.6319 1
Li3 Li 0.0000 0.1571 0.2500 1
Li4 Li 0.0000 0.2306 0.5990 1
Tl1 Tl 0.0000 0.4871 0.7500 1
Ag1 Ag 0.0000 0.3216 0.2500 1
Ag2 Ag 0.0000 0.3491 0.5355 1
```

ii has the most favorable energy; the next structure is 42 meV/atom above.

i:
The following is a DFT calculation (PBE-GGA) of a relaxed structure of Li6Tl2Ag.

CIF file:
```
data_Li6Tl2Ag
_cell_length_a 4.6138
_cell_length_b 4.6138
_cell_length_c 29.4758
_cell_angle_alpha 90.00
_cell_angle_beta 90.00
_cell_angle_gamma 120.00
_symmetry_space_group_name_H-M 'R -3 m'
_symmetry_Int_Tables_number 166
_symmetry_space_group_name_Hall '-R 3 2"'
loop_
_atom_site_label
_atom_site_type_symbol
_atom_site_fract_x
_atom_site_fract_y
_atom_site_fract_z
_atom_site_occupancy
Li1 Li 0.0000 0.0000 0.0976 1
Li2 Li 0.0000 0.0000 0.2002 1
Li3 Li 0.0000 0.0000 0.3060 1
Tl1 Tl 0.0000 0.0000 0.4029 1
Ag1 Ag 0.0000 0.0000 0.5000 1
```

ii:
The following is a DFT calculation (PBE-GGA) of a relaxed structure of Li6Tl2Ag.

CIF file:
```
data_Li6Tl2Ag
_cell_length_a 7.8594
_cell_length_b 7.8594
_cell_length_c 3.2773
_cell_angle_alpha 90.00
_cell_angle_beta 90.00
_cell_angle_gamma 120.00
_symmetry_space_group_name_H-M 'P -6 2 m'
_symmetry_Int_Tables_number 189
_symmetry_space_group_name_Hall 'P -6 -2'
loop_
_atom_site_label
_atom_site_type_symbol
_atom_site_fract_x
_atom_site_fract_y
_atom_site_fract_z
_atom_site_occupancy
Li1 Li 0.0000 0.2760 0.0000 1
Li2 Li 0.0000 0.6221 0.5000 1
Tl1 Tl 0.3333 0.6667 0.0000 1
Ag1 Ag 0.0000 0.0000 0.5000 1
```

ii has the most favorable energy; the next structure is 40 meV/atom above.

i:
The following is a DFT calculation (PBE-GGA) of a relaxed structure of Li6TlAg2.

CIF file:
```
data_Li6TlAg2
_cell_length_a 13.5963
_cell_length_b 7.8763
_cell_length_c 2.9027
_cell_angle_alpha 90.00
_cell_angle_beta 90.82
_cell_angle_gamma 90.00
_symmetry_space_group_name_H-M 'C 1 2/m 1'
_symmetry_Int_Tables_number 12
_symmetry_space_group_name_Hall '-C 2y'
loop_
_atom_site_label
_atom_site_type_symbol
_atom_site_fract_x
_atom_site_fract_y
_atom_site_fract_z
_atom_site_occupancy
Li1 Li 0.0000 0.1622 0.0000 1
Li2 Li 0.1692 0.3310 0.0128 1
Tl1 Tl 0.0000 0.5000 0.5000 1
Ag1 Ag 0.1663 0.0000 0.5003 1
```

ii:
The following is a DFT calculation (PBE-GGA) of a relaxed structure of Li6TlAg2.

CIF file:
```
data_Li6TlAg2
_cell_length_a 2.9293
_cell_length_b 7.7951
_cell_length_c 13.8824
_cell_angle_alpha 90.00
_cell_angle_beta 90.00
_cell_angle_gamma 90.00
_symmetry_space_group_name_H-M 'I m m m'
_symmetry_Int_Tables_number 71
_symmetry_space_group_name_Hall '-I 2 2'
loop_
_atom_site_label
_atom_site_type_symbol
_atom_site_fract_x
_atom_site_fract_y
_atom_site_fract_z
_atom_site_occupancy
Li1 Li 0.0000 0.1657 0.0000 1
Li2 Li 0.0000 0.3229 0.1699 1
Tl1 Tl 0.0000 0.0000 0.5000 1
Ag1 Ag 0.0000 0.5000 0.3468 1
```

i has the most favorable energy; the next structure is 9 meV/atom above.

i:
The following is a DFT calculation (PBE-GGA) of a relaxed structure of LiTmAg2.

CIF file:
```
data_LiTmAg2
_cell_length_a 6.8734
_cell_length_b 6.8734
_cell_length_c 6.8734
_cell_angle_alpha 90.00
_cell_angle_beta 90.00
_cell_angle_gamma 90.00
_symmetry_space_group_name_H-M 'F m -3 m'
_symmetry_Int_Tables_number 225
_symmetry_space_group_name_Hall '-F 4 2 3'
loop_
_atom_site_label
_atom_site_type_symbol
_atom_site_fract_x
_atom_site_fract_y
_atom_site_fract_z
_atom_site_occupancy
Li1 Li 0.0000 0.0000 0.0000 1
Tm1 Tm 0.0000 0.0000 0.5000 1
Ag1 Ag 0.2500 0.2500 0.2500 1
```

ii:
The following is a DFT calculation (PBE-GGA) of a relaxed structure of LiTmAg2.

CIF file:
```
data_LiTmAg2
_cell_length_a 3.4703
_cell_length_b 3.4703
_cell_length_c 6.6257
_cell_angle_alpha 90.00
_cell_angle_beta 90.00
_cell_angle_gamma 90.00
_symmetry_space_group_name_H-M 'P 4/m m m'
_symmetry_Int_Tables_number 123
_symmetry_space_group_name_Hall '-P 4 2'
loop_
_atom_site_label
_atom_site_type_symbol
_atom_site_fract_x
_atom_site_fract_y
_atom_site_fract_z
_atom_site_occupancy
Li1 Li 0.0000 0.0000 0.0000 1
Tm1 Tm 0.0000 0.0000 0.5000 1
Ag1 Ag 0.5000 0.5000 0.2208 1
```

ii has the most favorable energy; the next structure is 24 meV/atom above.